(1)
DFT (PBE-GGA) results for a relaxed Ca2PrPuSe4 crystal.

abc: 7.2694 4.1983 7.3495
angles: 90.00 109.31 90.00
Element x y z (fractional)
Ca 0.0000 0.0000 0.0000
Ca 0.5000 0.5000 0.0000
Pr 0.0000 0.5000 0.5000
Pu 0.5000 0.0000 0.5000
Se 0.2529 0.5000 0.2478
Se 0.2550 0.0000 0.7560
Se 0.7450 0.0000 0.2440
Se 0.7471 0.5000 0.7522

Its space group is P2/m, No. 10. The uncorrected formation energy is -1.815 eV per atom.

---

(2)
DFT (PBE-GGA) results for a relaxed Ca2PrPuTe4 crystal.

abc: 6.3707 6.3707 12.7401
angles: 90.00 90.00 90.00
Element x y z (fractional)
Ca 0.0000 0.0000 0.0000
Ca 0.0000 0.5000 0.2500
Ca 0.5000 0.0000 0.7500
Ca 0.5000 0.5000 0.5000
Pr 0.0000 0.0000 0.5000
Pr 0.5000 0.5000 0.0000
Pu 0.0000 0.5000 0.7500
Pu 0.5000 0.0000 0.2500
Te 0.0000 0.0000 0.2473
Te 0.0000 0.0000 0.7527
Te 0.0000 0.5000 0.0003
Te 0.0000 0.5000 0.4997
Te 0.5000 0.0000 0.9997
Te 0.5000 0.0000 0.5003
Te 0.5000 0.5000 0.2527
Te 0.5000 0.5000 0.7473

Its space group is I-4m2, No. 119. The uncorrected formation energy is -1.421 eV per atom.

---

(3)
DFT (PBE-GGA) results for a relaxed RbCaPr crystal.

abc: 21.3631 3.9072 6.7671
angles: 90.00 90.00 90.00
Element x y z (fractional)
Rb 0.1818 0.0000 0.0000
Rb 0.1818 0.5000 0.5000
Rb 0.8182 0.0000 0.0000
Rb 0.8182 0.5000 0.5000
Ca 0.0000 0.0000 0.6773
Ca 0.0000 0.5000 0.1773
Ca 0.5000 0.0000 0.9922
Ca 0.5000 0.5000 0.4922
Pr 0.3588 0.0000 0.6588
Pr 0.3588 0.5000 0.1588
Pr 0.6412 0.0000 0.6588
Pr 0.6412 0.5000 0.1588

Its space group is Amm2, No. 38. For the calculated formation energy, the calculation gives 275 meV per atom.

---

(4)
DFT (PBE-GGA) results for a relaxed CaPr2Rh crystal.

abc: 4.0936 12.6851 9.3429
angles: 90.00 90.00 90.00
Element x y z (fractional)
Ca 0.0000 0.0755 0.2500
Ca 0.0000 0.9245 0.7500
Ca 0.5000 0.4245 0.7500
Ca 0.5000 0.5755 0.2500
Pr 0.0000 0.3560 0.0628
Pr 0.0000 0.3560 0.4372
Pr 0.0000 0.6440 0.5628
Pr 0.0000 0.6440 0.9372
Pr 0.5000 0.1440 0.5628
Pr 0.5000 0.1440 0.9372
Pr 0.5000 0.8560 0.0628
Pr 0.5000 0.8560 0.4372
Rh 0.0000 0.2419 0.7500
Rh 0.0000 0.7581 0.2500
Rh 0.5000 0.2581 0.2500
Rh 0.5000 0.7419 0.7500

Its space group is Cmcm, No. 63. The polymorph energy (0 for the lowest one) is 0.034 eV/atom. For the calculated formation energy, the calculation gives -336 meV per atom.

---

(5)
DFT (PBE-GGA) results for a relaxed CaPr4Rh2 crystal.

abc: 7.8568 7.8687 8.3423
angles: 107.87 107.76 94.47
Element x y z (fractional)
Ca 0.0137 0.4860 0.2499
Ca 0.9863 0.5140 0.7501
Pr 0.2399 0.2212 0.4779
Pr 0.2802 0.2611 0.0240
Pr 0.2823 0.8157 0.1392
Pr 0.3147 0.7832 0.6390
Pr 0.6853 0.2168 0.3610
Pr 0.7177 0.1843 0.8608
Pr 0.7198 0.7389 0.9760
Pr 0.7601 0.7788 0.5221
Rh 0.0000 0.0000 0.0000
Rh 0.5000 0.0000 0.0000
Rh 0.5000 0.0000 0.5000
Rh 0.5000 0.5000 0.5000

Its space group is P-1, No. 2. The polymorph energy (0 for the lowest one) is 0.127 eV/atom. For the calculated formation energy, the calculation gives -233 meV per atom.

---

(6)
DFT (PBE-GGA) results for a relaxed CaPrRh crystal.

abc: 3.5449 3.5449 13.3479
angles: 90.00 90.00 90.00
Element x y z (fractional)
Ca 0.0000 0.0000 0.0000
Ca 0.5000 0.5000 0.5000
Pr 0.0000 0.0000 0.2543
Pr 0.5000 0.5000 0.7543
Rh 0.0000 0.0000 0.6358
Rh 0.5000 0.5000 0.1358

Its space group is I4mm, No. 107. The polymorph energy (0 for the lowest one) is 0.014 eV/atom. For the calculated formation energy, the calculation gives -399 meV per atom.

---

(7)
DFT (PBE-GGA) results for a relaxed CaPr2Rh9 crystal.

abc: 9.3744 9.3744 9.3744
angles: 33.06 33.06 33.06
Element x y z (fractional)
Ca 0.0000 0.0000 0.0000
Pr 0.1376 0.1376 0.1376
Pr 0.8624 0.8624 0.8624
Rh 0.0827 0.5801 0.5801
Rh 0.3325 0.3325 0.3325
Rh 0.4199 0.4199 0.9173
Rh 0.4199 0.9173 0.4199
Rh 0.5000 0.5000 0.5000
Rh 0.5801 0.0827 0.5801
Rh 0.5801 0.5801 0.0827
Rh 0.6675 0.6675 0.6675
Rh 0.9173 0.4199 0.4199

Its space group is R-3m, No. 166. For the calculated formation energy, the calculation gives -409 meV per atom.

---

(8)
DFT (PBE-GGA) results for a relaxed CaPr2Rh2 crystal.

abc: 13.1040 4.3255 5.6466
angles: 90.00 115.36 90.00
Element x y z (fractional)
Ca 0.0000 0.0000 0.0000
Ca 0.5000 0.5000 0.0000
Pr 0.1810 0.5000 0.6813
Pr 0.3190 0.0000 0.3187
Pr 0.6810 0.0000 0.6813
Pr 0.8190 0.5000 0.3187
Rh 0.1529 0.5000 0.1535
Rh 0.3471 0.0000 0.8465
Rh 0.6529 0.0000 0.1535
Rh 0.8471 0.5000 0.8465

Its space group is C2/m, No. 12. The polymorph energy (0 for the lowest one) is 0.084 eV/atom. For the calculated formation energy, the calculation gives -445 meV per atom.

---

(9)
DFT (PBE-GGA) results for a relaxed CaPrRh crystal.

abc: 6.9896 6.9896 6.9896
angles: 90.00 90.00 90.00
Element x y z (fractional)
Ca 0.0000 0.0000 0.0000
Ca 0.0000 0.5000 0.5000
Ca 0.5000 0.0000 0.5000
Ca 0.5000 0.5000 0.0000
Pr 0.0000 0.0000 0.5000
Pr 0.0000 0.5000 0.0000
Pr 0.5000 0.0000 0.0000
Pr 0.5000 0.5000 0.5000
Rh 0.2500 0.2500 0.7500
Rh 0.2500 0.7500 0.2500
Rh 0.7500 0.2500 0.2500
Rh 0.7500 0.7500 0.7500

Its space group is F-43m, No. 216. The polymorph energy (0 for the lowest one) is 0.021 eV/atom. For the calculated formation energy, the calculation gives -392 meV per atom.

---

(10)
DFT (PBE-GGA) results for a relaxed CaPr2Rh crystal.

abc: 4.1277 4.1277 28.6081
angles: 90.00 90.00 120.00
Element x y z (fractional)
Ca 0.0000 0.0000 0.0000
Ca 0.3333 0.6667 0.6667
Ca 0.6667 0.3333 0.3333
Pr 0.0000 0.0000 0.2229
Pr 0.0000 0.0000 0.4469
Pr 0.3333 0.6667 0.1136
Pr 0.3333 0.6667 0.8896
Pr 0.6667 0.3333 0.5563
Pr 0.6667 0.3333 0.7802
Rh 0.0000 0.0000 0.8351
Rh 0.3333 0.6667 0.5018
Rh 0.6667 0.3333 0.1685

Its space group is R3m, No. 160. The polymorph energy (0 for the lowest one) is 0.048 eV/atom. For the calculated formation energy, the calculation gives -322 meV per atom.

---

(11)
DFT (PBE-GGA) results for a relaxed CaPr2Rh crystal.

abc: 7.4673 10.0238 6.4694
angles: 90.00 90.00 90.00
Element x y z (fractional)
Ca 0.0385 0.2500 0.1419
Ca 0.4615 0.7500 0.6419
Ca 0.5385 0.2500 0.3581
Ca 0.9615 0.7500 0.8581
Pr 0.1728 0.0650 0.6725
Pr 0.1728 0.4350 0.6725
Pr 0.3272 0.5650 0.1725
Pr 0.3272 0.9350 0.1725
Pr 0.6728 0.0650 0.8275
Pr 0.6728 0.4350 0.8275
Pr 0.8272 0.5650 0.3275
Pr 0.8272 0.9350 0.3275
Rh 0.1091 0.7500 0.4161
Rh 0.3909 0.2500 0.9161
Rh 0.6091 0.7500 0.0839
Rh 0.8909 0.2500 0.5839

Its space group is Pnma, No. 62. The polymorph energy (0 for the lowest one) is 0.000 eV/atom. For the calculated formation energy, the calculation gives -371 meV per atom.

---

(12)
DFT (PBE-GGA) results for a relaxed CaPr3Rh8 crystal.

abc: 9.4125 9.4125 9.4125
angles: 33.41 33.41 33.41
Element x y z (fractional)
Ca 0.0000 0.0000 0.0000
Pr 0.3719 0.3719 0.3719
Pr 0.4985 0.4985 0.4985
Pr 0.8764 0.8764 0.8764
Rh 0.1867 0.1867 0.1867
Rh 0.4372 0.4372 0.9360
Rh 0.4372 0.9360 0.4372
Rh 0.4369 0.9363 0.9363
Rh 0.6866 0.6866 0.6866
Rh 0.9360 0.4372 0.4372
Rh 0.9363 0.4369 0.9363
Rh 0.9363 0.9363 0.4369

Its space group is R3m, No. 160. For the calculated formation energy, the calculation gives -592 meV per atom.

---

(13)
DFT (PBE-GGA) results for a relaxed CaPr2Rh crystal.

abc: 3.6435 3.6435 9.4953
angles: 90.00 90.00 90.00
Element x y z (fractional)
Ca 0.0000 0.0000 0.0000
Pr 0.5000 0.5000 0.3244
Pr 0.5000 0.5000 0.6756
Rh 0.0000 0.0000 0.5000

Its space group is P4/mmm, No. 123. The polymorph energy (0 for the lowest one) is 0.093 eV/atom. For the calculated formation energy, the calculation gives -277 meV per atom.

---

(14)
DFT (PBE-GGA) results for a relaxed CaPrRh crystal.

abc: 5.8673 4.7582 6.4994
angles: 90.00 104.63 90.00
Element x y z (fractional)
Ca 0.0755 0.2500 0.2971
Ca 0.9245 0.7500 0.7029
Pr 0.4789 0.2500 0.8078
Pr 0.5211 0.7500 0.1922
Rh 0.3711 0.7500 0.5776
Rh 0.6289 0.2500 0.4224

Its space group is P2_1/m, No. 11. The polymorph energy (0 for the lowest one) is 0.057 eV/atom. For the calculated formation energy, the calculation gives -356 meV per atom.

---

(15)
DFT (PBE-GGA) results for a relaxed CaPr5Rh6 crystal.

abc: 8.6793 8.6793 5.0272
angles: 106.81 106.81 119.85
Element x y z (fractional)
Ca 0.0000 0.0000 0.0000
Pr 0.1588 0.8412 0.5000
Pr 0.3303 0.6697 0.0000
Pr 0.5000 0.5000 0.5000
Pr 0.6697 0.3303 0.0000
Pr 0.8412 0.1588 0.5000
Rh 0.0859 0.4254 0.2555
Rh 0.2621 0.2621 0.7626
Rh 0.4254 0.0859 0.2555
Rh 0.5746 0.9141 0.7445
Rh 0.7379 0.7379 0.2374
Rh 0.9141 0.5746 0.7445

Its space group is C2/m, No. 12. For the calculated formation energy, the calculation gives -568 meV per atom.

---

(16)
DFT (PBE-GGA) results for a relaxed CaPr4Rh4 crystal.

abc: 9.0611 9.0611 5.8015
angles: 90.00 90.00 90.00
Element x y z (fractional)
Ca 0.2500 0.2500 0.2500
Ca 0.7500 0.7500 0.7500
Pr 0.0642 0.6644 0.1538
Pr 0.1644 0.9358 0.6538
Pr 0.3356 0.5642 0.6538
Pr 0.4358 0.8356 0.1538
Pr 0.5642 0.1644 0.8462
Pr 0.6644 0.4358 0.3462
Pr 0.8356 0.0642 0.3462
Pr 0.9358 0.3356 0.8462
Rh 0.0303 0.6243 0.6482
Rh 0.1243 0.9697 0.1482
Rh 0.3757 0.5303 0.1482
Rh 0.4697 0.8757 0.6482
Rh 0.5303 0.1243 0.3518
Rh 0.6243 0.4697 0.8518
Rh 0.8757 0.0303 0.8518
Rh 0.9697 0.3757 0.3518

Its space group is P4_2/n, No. 86. For the calculated formation energy, the calculation gives -492 meV per atom.

---

(17)
DFT (PBE-GGA) results for a relaxed CaPr2Rh crystal.

abc: 3.9815 3.9815 32.5998
angles: 90.00 90.00 120.00
Element x y z (fractional)
Ca 0.0000 0.0000 0.0000
Ca 0.3333 0.6667 0.6667
Ca 0.6667 0.3333 0.3333
Pr 0.0000 0.0000 0.1159
Pr 0.0000 0.0000 0.8841
Pr 0.3333 0.6667 0.5508
Pr 0.3333 0.6667 0.7825
Pr 0.6667 0.3333 0.2175
Pr 0.6667 0.3333 0.4492
Rh 0.0000 0.0000 0.5000
Rh 0.3333 0.6667 0.1667
Rh 0.6667 0.3333 0.8333

Its space group is R-3m, No. 166. The polymorph energy (0 for the lowest one) is 0.166 eV/atom. For the calculated formation energy, the calculation gives -204 meV per atom.

---

(18)
DFT (PBE-GGA) results for a relaxed CaPrRh crystal.

abc: 4.0968 4.0968 6.5458
angles: 90.00 90.00 120.00
Element x y z (fractional)
Ca 0.0000 0.0000 0.0000
Pr 0.6667 0.3333 0.4778
Rh 0.3333 0.6667 0.2507

Its space group is P3m1, No. 156. The polymorph energy (0 for the lowest one) is 0.045 eV/atom. For the calculated formation energy, the calculation gives -368 meV per atom.

---

(19)
DFT (PBE-GGA) results for a relaxed Ca2Pr2Rh3 crystal.

abc: 13.6914 4.6423 5.6899
angles: 90.00 94.46 90.00
Element x y z (fractional)
Ca 0.0901 0.0000 0.3122
Ca 0.4099 0.5000 0.6878
Ca 0.5901 0.5000 0.3122
Ca 0.9099 0.0000 0.6878
Pr 0.1616 0.5000 0.8313
Pr 0.3384 0.0000 0.1687
Pr 0.6616 0.0000 0.8313
Pr 0.8384 0.5000 0.1687
Rh 0.0000 0.5000 0.5000
Rh 0.2213 0.5000 0.3324
Rh 0.2787 0.0000 0.6676
Rh 0.5000 0.0000 0.5000
Rh 0.7213 0.0000 0.3324
Rh 0.7787 0.5000 0.6676

Its space group is C2/m, No. 12. The polymorph energy (0 for the lowest one) is 0.060 eV/atom. For the calculated formation energy, the calculation gives -429 meV per atom.

---

(20)
DFT (PBE-GGA) results for a relaxed Ca3PrRh2 crystal.

abc: 4.5031 9.1322 7.5563
angles: 90.00 90.00 90.00
Element x y z (fractional)
Ca 0.0000 0.0858 0.0000
Ca 0.0000 0.3085 0.3817
Ca 0.0000 0.6915 0.8817
Ca 0.0000 0.9142 0.5000
Ca 0.5000 0.1762 0.6737
Ca 0.5000 0.8238 0.1737
Pr 0.5000 0.4204 0.0519
Pr 0.5000 0.5796 0.5519
Rh 0.0000 0.3814 0.7739
Rh 0.0000 0.6186 0.2739
Rh 0.5000 0.1435 0.2556
Rh 0.5000 0.8565 0.7556

Its space group is Pmc2_1, No. 26. For the calculated formation energy, the calculation gives -405 meV per atom.

---

(21)
DFT (PBE-GGA) results for a relaxed Ca3PrRh8 crystal.

abc: 9.3358 9.3358 9.3358
angles: 33.43 33.43 33.43
Element x y z (fractional)
Ca 0.0000 0.0000 0.0000
Ca 0.1229 0.1229 0.1229
Ca 0.4955 0.4955 0.4955
Pr 0.6223 0.6223 0.6223
Rh 0.0598 0.0598 0.5601
Rh 0.0598 0.5601 0.0598
Rh 0.0602 0.5603 0.5603
Rh 0.3103 0.3103 0.3103
Rh 0.5601 0.0598 0.0598
Rh 0.5603 0.0602 0.5603
Rh 0.5603 0.5603 0.0602
Rh 0.8101 0.8101 0.8101

Its space group is R3m, No. 160. For the calculated formation energy, the calculation gives -490 meV per atom.

---

(22)
DFT (PBE-GGA) results for a relaxed CaPrRh crystal.

abc: 12.7811 3.8823 6.8408
angles: 90.00 91.51 90.00
Element x y z (fractional)
Ca 0.0000 0.0000 0.0000
Ca 0.2328 0.5000 0.7998
Ca 0.5000 0.5000 0.0000
Ca 0.7328 0.0000 0.7998
Pr 0.0186 0.0000 0.5019
Pr 0.2867 0.0000 0.3085
Pr 0.5186 0.5000 0.5019
Pr 0.7867 0.5000 0.3085
Rh 0.1292 0.5000 0.2442
Rh 0.3958 0.0000 0.7020
Rh 0.6292 0.0000 0.2442
Rh 0.8958 0.5000 0.7020

Its space group is Cm, No. 8. The polymorph energy (0 for the lowest one) is 0.000 eV/atom. For the calculated formation energy, the calculation gives -413 meV per atom.

---

(23)
DFT (PBE-GGA) results for a relaxed CaPr5Rh4 crystal.

abc: 9.6396 9.6396 7.5827
angles: 113.16 113.16 26.08
Element x y z (fractional)
Ca 0.0000 0.0000 0.0000
Pr 0.0000 0.0000 0.5000
Pr 0.3365 0.3365 0.5939
Pr 0.3365 0.3365 0.0806
Pr 0.6635 0.6635 0.9194
Pr 0.6635 0.6635 0.4061
Rh 0.2021 0.2021 0.2016
Rh 0.5001 0.5001 0.2577
Rh 0.4999 0.4999 0.7423
Rh 0.7979 0.7979 0.7984

Its space group is C2/m, No. 12. For the calculated formation energy, the calculation gives -452 meV per atom.

---

(24)
DFT (PBE-GGA) results for a relaxed CaPr2Rh2 crystal.

abc: 8.0611 8.0611 3.8751
angles: 90.00 90.00 90.00
Element x y z (fractional)
Ca 0.0000 0.0000 0.0000
Ca 0.5000 0.5000 0.0000
Pr 0.1546 0.3454 0.5000
Pr 0.3454 0.8454 0.5000
Pr 0.6546 0.1546 0.5000
Pr 0.8454 0.6546 0.5000
Rh 0.1413 0.6413 0.0000
Rh 0.3587 0.1413 0.0000
Rh 0.6413 0.8587 0.0000
Rh 0.8587 0.3587 0.0000

Its space group is P4/mbm, No. 127. The polymorph energy (0 for the lowest one) is 0.000 eV/atom. For the calculated formation energy, the calculation gives -529 meV per atom.

---

Let's list uncorrected energy in order: -6.4469 -5.8814 -2.3076 -5.0641 -5.3504 -5.1099 -6.8863 -5.6974 -5.1031 -5.0503 -5.0986 -6.8546 -5.0052 -5.0668 -6.4022 -6.1064 -4.9322 -5.0786 -5.5166 -4.6524 -6.2901 -5.1238 -5.9821 -5.7816 eV/atom.